Here is BaMg2FeO4 after structural relaxation from Alexandria. Energies are from GGA+U.

Spin magnetization, μB/atom: 0.500
Fermi-level density of states, states/eV/f.u.: 0.00
E, eV/atom: -5.9332
Density, g/cm3: 4.72

Lattice parameters (Å, degrees): 3.352 5.838 11.483 90.00 90.00 106.69
Element x y z (fractional)
1 Ba 0.106 0.211 0.750
2 Ba 0.894 0.789 0.250
3 Mg 0.367 0.734 0.535
4 Mg 0.633 0.266 0.035
5 Mg 0.633 0.266 0.465
6 Mg 0.367 0.734 0.965
7 Fe 0.837 0.674 0.750
8 Fe 0.163 0.326 0.250
9 O 0.252 0.503 0.102
10 O 0.748 0.497 0.602
11 O 0.748 0.497 0.898
12 O 0.252 0.503 0.398
13 O 0.000 0.000 0.500
14 O 0.000 0.000 0.000
15 O 0.429 0.858 0.750
16 O 0.571 0.142 0.250